Entry 1:
Material: Tm4Hf3As4
Method: DFT, GGA-PBE
State: optimized geometry

Cell lengths 7.3457, 3.8123, 8.9202 Å; angles 90.00, 97.68, 90.00 degrees
Last column: magnetic moment on the atom in μB.
Fractional positions:
Hf (0.9389, 0.0000, 0.1975)  0.09
As (0.2312, 0.5000, 0.1480)  0.00
Tm (0.5983, 0.5000, 0.0454)  0.07
Tm (0.8935, 0.0000, 0.5968)  0.07
Hf (0.4691, 0.0000, 0.3253)  0.01
Tm (0.1506, 0.5000, 0.4452)  0.07
As (0.8046, 0.0000, 0.8894)  0.00
As (0.3460, 0.0000, 0.6074)  0.00
Tm (0.2263, 0.0000, 0.8958)  0.10
As (0.7495, 0.5000, 0.3666)  0.00
Hf (0.5899, 0.5000, 0.6798)  0.00

Summary:
For the volume, the calculation gives 22.505 A^3/atom. Its size of the total moment is 0.55 μB per formula unit. As for the uncorrected energy: -73.77 eV per formula unit. Its space group is No. 6.

Entry 2:
Material: LuZnCoNi
Method: DFT, GGA-PBE
State: optimized geometry

Cell lengths 4.3962, 4.3962, 4.3962 Å; angles 60.00, 60.00, 60.00 degrees
Fractional positions:
Lu (0.2500, 0.2500, 0.2500)
Zn (0.0000, 0.0000, 0.0000)
Co (0.5000, 0.5000, 0.5000)
Ni (0.7500, 0.7500, 0.7500)

Summary:
The value obtained for the formation energy is -0.019 eV/atom. For the volume, the calculation gives 15.020 A^3/atom. Its size of the total moment is 0.94 μB per formula unit. The energy above the most stable polymorph in this dataset is 221.6 meV/atom. As for the uncorrected energy: -18.54 eV per formula unit. Its space group is No. 216.

Entry 3:
Material: Ho2ErCu4Si4
Method: DFT, GGA-PBE
State: optimized geometry

Cell lengths 7.8167, 7.8167, 7.8167 Å; angles 149.52, 130.75, 59.03 degrees
Fractional positions:
Cu (0.4782, 0.6693, 0.8089)
Si (0.8141, 0.5000, 0.3141)
Si (0.7163, 0.2163, 0.5000)
Ho (0.8711, 0.8711, 0.0000)
Si (0.1859, 0.5000, 0.6859)
Cu (0.1396, 0.3307, 0.8089)
Si (0.2837, 0.7837, 0.5000)
Ho (0.1289, 0.1289, 0.0000)
Cu (0.8604, 0.6693, 0.1911)
Cu (0.5218, 0.3307, 0.1911)
Er (0.5000, 0.0000, 0.5000)

Summary:
For the volume, the calculation gives 16.553 A^3/atom. Its size of the total moment is 0.00 μB per formula unit. As for the uncorrected energy: -57.30 eV per formula unit. Its space group is No. 71.

Entry 4:
Material: La2Mg4CuAu
Method: DFT, GGA-PBE
State: optimized geometry

Cell lengths 8.2076, 5.6915, 5.6915 Å; angles 46.40, 90.00, 90.00 degrees
Fractional positions:
Au (0.5000, 0.2301, 0.2301)
Mg (0.3007, 0.6505, 0.6505)
Mg (0.1909, 0.3501, 0.3501)
La (0.0000, 0.0576, 0.0576)
La (0.5000, 0.9406, 0.9406)
Mg (0.8091, 0.3501, 0.3501)
Cu (0.0000, 0.7704, 0.7704)
Mg (0.6993, 0.6505, 0.6505)

Summary:
For the volume, the calculation gives 24.068 A^3/atom. Its size of the total moment is 0.01 μB per formula unit. As for the uncorrected energy: -25.85 eV per formula unit. Its space group is No. 38.

Entry 5:
Material: AcSmPO
Method: DFT, GGA-PBE
State: optimized geometry

Cell lengths 4.6417, 4.6417, 8.7395 Å; angles 90.00, 90.00, 90.00 degrees
Fractional positions:
P (0.2500, 0.2500, 0.7180)
Ac (0.7500, 0.2500, 0.5000)
Sm (0.7500, 0.7500, 0.9219)
Sm (0.2500, 0.2500, 0.0781)
O (0.7500, 0.2500, 0.0000)
O (0.2500, 0.7500, 0.0000)
Ac (0.2500, 0.7500, 0.5000)
P (0.7500, 0.7500, 0.2820)

Summary:
For the volume, the calculation gives 23.537 A^3/atom. Its size of the total moment is 0.01 μB per formula unit. The energy above the most stable polymorph in this dataset is 342.4 meV/atom. As for the uncorrected energy: -25.68 eV per formula unit. Its space group is No. 129.

Entry 6:
Material: CsIrNO
Method: DFT, GGA-PBE
State: optimized geometry

Cell lengths 3.7610, 3.7610, 10.6261 Å; angles 90.00, 90.00, 90.00 degrees
Last column: magnetic moment on the atom in μB.
Fractional positions:
Ir (0.5000, 0.5000, 0.5000)  -0.01
Ir (0.0000, 0.0000, 0.5000)  -0.01
N (0.0000, 0.5000, 0.5924)  0.00
Cs (0.5000, 0.0000, 0.8114)  -0.01
N (0.5000, 0.0000, 0.4076)  0.00
Cs (0.0000, 0.5000, 0.1886)  -0.01
O (0.0000, 0.0000, 0.0000)  -0.98
O (0.5000, 0.5000, 0.0000)  -0.98

Summary:
For the volume, the calculation gives 18.789 A^3/atom. Its size of the total moment is 1.21 μB per formula unit. The energy above the most stable polymorph in this dataset is 645.5 meV/atom. As for the uncorrected energy: -21.36 eV per formula unit. Its space group is No. 129.

Entry 7:
Material: TmPbNO
Method: DFT, GGA-PBE
State: optimized geometry

Cell lengths 6.6484, 9.0796, 4.8738 Å; angles 90.00, 90.00, 90.00 degrees
Fractional positions:
Tm (0.0734, 0.1075, 0.0498)
N (0.9140, 0.8908, 0.0506)
O (0.1100, 0.7024, 0.5534)
Tm (0.5734, 0.8925, 0.0498)
N (0.5860, 0.8908, 0.5506)
Pb (0.0527, 0.6511, 0.0486)
O (0.8900, 0.2976, 0.0534)
N (0.4140, 0.1092, 0.0506)
O (0.6100, 0.2976, 0.5534)
Pb (0.5527, 0.3489, 0.0486)
Tm (0.9266, 0.8925, 0.5498)
Pb (0.4473, 0.6511, 0.5486)
Tm (0.4266, 0.1075, 0.5498)
O (0.3900, 0.7024, 0.0534)
N (0.0860, 0.1092, 0.5506)
Pb (0.9473, 0.3489, 0.5486)

Summary:
For the volume, the calculation gives 18.388 A^3/atom. Its size of the total moment is 0.00 μB per formula unit. The energy above the most stable polymorph in this dataset is 109.4 meV/atom. As for the uncorrected energy: -27.16 eV per formula unit. Its space group is No. 29.

Entry 8:
Material: RbSrAu
Method: DFT, GGA-PBE
State: optimized geometry

Cell lengths 5.5074, 5.5074, 5.5074 Å; angles 60.00, 60.00, 60.00 degrees
Fractional positions:
Rb (0.0000, 0.0000, 0.0000)
Sr (0.7500, 0.7500, 0.7500)
Au (0.2500, 0.2500, 0.2500)

Summary:
For the volume, the calculation gives 39.372 A^3/atom. As for the uncorrected energy: -5.22 eV per formula unit. Its space group is No. 216.

Entry 9:
Material: BeZnSn2As4
Method: DFT, GGA-PBE
State: optimized geometry

Cell lengths 7.1267, 7.1267, 7.1267 Å; angles 132.13, 132.13, 70.03 degrees
Fractional positions:
As (0.8846, 0.9094, 0.5558)
As (0.0906, 0.6463, 0.9752)
Sn (0.5000, 0.5000, 0.0000)
As (0.6712, 0.1154, 0.0248)
As (0.3537, 0.3288, 0.4442)
Sn (0.2500, 0.7500, 0.5000)
Be (0.0000, 0.0000, 0.0000)
Zn (0.7500, 0.2500, 0.5000)

Summary:
For the volume, the calculation gives 24.399 A^3/atom. As for the uncorrected energy: -33.08 eV per formula unit. Its space group is No. 82.

Entry 10:
Material: LaNd2Ag2Hg3Pd
Method: DFT, GGA-PBE
State: optimized geometry

Cell lengths 3.9698, 8.0227, 8.0227 Å; angles 120.33, 90.00, 90.00 degrees
Fractional positions:
Pd (0.0000, 0.0023, 0.0023)
Ag (0.5000, 0.6679, 0.3327)
Hg (0.5000, 0.7374, 0.7374)
Hg (0.5000, 0.2647, 0.9969)
Nd (0.0000, 0.6110, 0.9989)
Ag (0.5000, 0.3327, 0.6679)
Nd (0.0000, 0.9989, 0.6110)
La (0.0000, 0.3881, 0.3881)
Hg (0.5000, 0.9969, 0.2647)

Summary:
The value obtained for the formation energy is -0.462 eV/atom. For the volume, the calculation gives 24.504 A^3/atom. Its size of the total moment is 0.01 μB per formula unit. As for the uncorrected energy: -30.33 eV per formula unit. Its space group is No. 38.

Entry 11:
Material: RbTa3N5
Method: DFT, GGA-PBE
State: optimized geometry

Cell lengths 5.3470, 5.3470, 6.3685 Å; angles 90.00, 90.00, 120.00 degrees
Fractional positions:
Rb (0.0000, 0.0000, 0.0000)
N (0.6667, 0.3333, 0.7145)
Ta (0.0000, 0.5000, 0.5000)
Ta (0.5000, 0.5000, 0.5000)
N (0.3333, 0.6667, 0.2855)
N (0.0000, 0.0000, 0.5000)
N (0.3333, 0.6667, 0.7145)
N (0.6667, 0.3333, 0.2855)
Ta (0.5000, 0.0000, 0.5000)

Summary:
For the volume, the calculation gives 17.520 A^3/atom. Its size of the total moment is 0.00 μB per formula unit. As for the uncorrected energy: -77.82 eV per formula unit. Its space group is No. 191.